Material: LaMn3As
Method: DFT, GGA-PBE
State: optimized geometry

abc: 4.704 4.704 4.704
angles: 90.00 90.00 90.00
Space group Pm-3m (No. 221)
Asymmetric unit:
La: 0.000 0.000 0.000 x1
Mn: 0.000 0.500 0.500 x3
As: 0.500 0.500 0.500 x1

Results
ΔH_f (0 K) in eV per atom: 0.215
Crystal system: cubic
Calculated density in g/cm3: 6.04

Material: Li3HfC
Method: DFT, GGA-PBE
State: optimized geometry

abc: 5.361 5.361 5.361
angles: 90.00 90.00 90.00
Space group Pm-3m (No. 221)
Asymmetric unit:
Li: 0.000 0.000 0.500 x3
Hf: 0.000 0.000 0.000 x1
C: 0.500 0.500 0.500 x1

Results
ΔH_f (0 K) in eV per atom: 2.565
Crystal system: cubic
Energy above the lowest structure with this stoichiometry in meV per atom: 1793
Calculated density in g/cm3: 2.28

Material: Er6BiSb2
Method: DFT, GGA-PBE
State: optimized geometry

abc: 6.320 8.236 11.809
angles: 90.00 120.37 90.00
Space group P2_1/c (No. 14)
Asymmetric unit:
Er: 0.056 0.199 0.441 x4
Er: 0.308 0.654 0.443 x4
Er: 0.349 0.037 0.215 x4
Bi: 0.500 0.000 0.500 x2
Sb: 0.156 0.119 0.740 x4

Results
Crystal system: monoclinic
Calculated density in g/cm3: 9.12
Formation energy without anion corrections in eV/atom: -0.555

Material: Sm10Ho4Sc
Method: DFT, GGA-PBE
State: optimized geometry

abc: 11.445 11.445 7.644
angles: 90.00 90.00 90.00
Space group I4/mmm (No. 139)
Asymmetric unit:
Sm: 0.000 0.211 0.218 x16
Sm: 0.000 0.500 0.250 x4
Ho: 0.234 0.234 0.500 x8
Sc: 0.000 0.000 0.500 x2

Results
ΔH_f (0 K) in eV per atom: 0.213
Crystal system: tetragonal
Calculated density in g/cm3: 7.32

Material: KSrSO4
Method: DFT, GGA-PBE
State: optimized geometry

abc: 5.098 5.378 9.068
angles: 90.00 91.35 90.00
Space group P2_1/m (No. 11)
Asymmetric unit:
K: 0.201 0.250 0.149 x2
Sr: 0.277 0.750 0.497 x2
S: 0.215 0.250 0.725 x2
O: 0.038 0.250 0.858 x2
O: 0.207 0.250 0.467 x2
O: 0.390 0.022 0.732 x4

Results
Crystal system: monoclinic
Calculated density in g/cm3: 2.98
Formation energy without anion corrections in eV/atom: -1.803

Material: Na3Zn4Sb4
Method: DFT, GGA-PBE
State: optimized geometry

abc: 5.218 6.790 15.169
angles: 90.00 90.00 90.00
Space group Immm (No. 71)
Asymmetric unit:
Na: 0.000 0.000 0.000 x2
Na: 0.000 0.500 0.118 x4
Zn: 0.000 0.311 0.326 x8
Sb: 0.000 0.000 0.217 x4
Sb: 0.000 0.212 0.500 x4

Results
Crystal system: orthorhombic
Calculated density in g/cm3: 5.05
Formation energy without anion corrections in eV/atom: -0.203